Compound: CoAs2Se
Source: the Alexandria database
Functional: PBE
Structure: optimized geometry

Summary:
- E_tot: -4.874 eV/atom
- Formation energy (no corrections): 38 kJ/mol of formula units

Cell lengths 6.776, 6.776, 6.776 Å; angles 30.10, 30.10, 30.10 degrees
Fractional coordinates of all 4 atoms:
As1 0.984 0.984 0.984
As2 0.516 0.516 0.516
Co1 0.250 0.250 0.250
Se1 0.750 0.750 0.750